Entry 1:
## Be2BRuI (PBE)

Data for a relaxed structure of Be2BRuI.

Space-group type = P4/mmm (123)
Formation energy without anion corrections = 0.6399 eV/atom

a = 3.959 Å, b = 3.959 Å, c = 4.330 Å
α = 90.00°, β = 90.00°, γ = 90.00°
Positions (direct):
1 I 0.500 0.500 0.500
2 Be 0.500 0.000 0.000
3 Be 0.000 0.500 0.000
4 Ru 0.000 0.000 0.500
5 B 0.000 0.000 0.000


Entry 2:
## TiNiPt4 (PBE)

Data for a relaxed structure of TiNiPt4.

E_form = -27.4 kJ/mol of atoms
Space-group type = P4/mmm (123)

a = 4.211 Å, b = 4.211 Å, c = 5.720 Å
α = 89.99°, β = 89.98°, γ = 90.00°
Positions (direct):
1 Pt 0.001 0.497 0.742
2 Pt 0.501 0.997 0.254
3 Pt 0.001 0.498 0.254
4 Pt 0.501 0.997 0.742
5 Ti 0.501 0.497 0.998
6 Ni 0.001 0.997 0.498


Entry 3:
## PrScAgIr (PBE)

Data for a relaxed structure of PrScAgIr.

E_form = -41.7 kJ/mol of atoms
Space-group type = F-43m (216)

a = 4.959 Å, b = 4.959 Å, c = 4.959 Å
α = 60.00°, β = 60.00°, γ = 60.00°
Positions (direct):
1 Pr 0.000 0.000 0.000
2 Ir 0.750 0.750 0.750
3 Sc 0.500 0.500 0.500
4 Ag 0.250 0.250 0.250